Record 1
A PBEsol-optimized structure of Ta2ReBrCl, computed with meta-GGA SCAN.

## Properties
uncorrected formation energy = 2438 meV/atom
SG = P4/mmm (123)

Cell lengths 4.677, 4.677, 4.868 Å; angles 90.00, 90.00, 90.00 degrees
Positions (direct):
Cl1 0.000 0.000 0.500
Br1 0.000 0.000 0.000
Ta1 0.000 0.500 0.000
Ta2 0.500 0.000 0.000
Re1 0.500 0.500 0.500

Record 2
A PBEsol-optimized structure of Tl2SiBr, computed with meta-GGA SCAN.

## Properties
ΔE to the lowest computed polymorph = 0 meV/atom
uncorrected formation energy = 194 meV/atom
SG = Cmmm (65)

Cell lengths 3.534, 3.534, 7.996 Å; angles 90.00, 90.00, 90.96 degrees
Positions (direct):
Si1 0.500 0.500 0.000
Br1 0.500 0.500 0.500
Tl1 0.000 0.000 0.232
Tl2 0.000 0.000 0.768

Number 1: N(E_F) 5.61 states/eV per cell, volume 107 Å³ per cell. Number 2: N(E_F) 2.22 states/eV per cell, volume 100 Å³ per cell.